## one
VASP calculation (PBE-GGA) on a relaxed NiPBr crystal.

a b c (Å): 6.176 6.176 6.176
angles (deg): 154.49 146.56 42.52
Sites, in units of the cell vectors:
1 P 0.232 0.232 0.000
2 Br 0.995 0.995 0.000
3 Ni 0.772 0.772 0.000

Calculated values
* M_tot: 0.00 μB/f.u.



## two
VASP calculation (PBE-GGA) on a relaxed NiPBr crystal.

a b c (Å): 3.434 3.434 5.559
angles (deg): 90.00 90.00 120.00
Sites, in units of the cell vectors:
1 Br 0.000 0.000 0.078
2 P 0.667 0.333 0.562
3 Ni 0.333 0.667 0.359

Calculated values
* M_tot: 0.00 μB/f.u.



Least stable of them? one.



## one
VASP calculation (PBE-GGA) on a relaxed NiPBr crystal.

a b c (Å): 6.611 6.140 3.479
angles (deg): 81.79 66.82 31.39
Sites, in units of the cell vectors:
1 P 0.284 0.284 0.716
2 Br 0.036 0.036 0.964
3 Ni 0.679 0.679 0.321

Calculated values
* M_tot: 0.00 μB/f.u.



## two
VASP calculation (PBE-GGA) on a relaxed NiPBr crystal.

a b c (Å): 4.239 4.239 4.239
angles (deg): 60.00 60.00 60.00
Sites, in units of the cell vectors:
1 Br 0.500 0.500 0.500
2 Ni 0.250 0.250 0.250
3 P 0.000 0.000 0.000

Calculated values
* M_tot: 0.32 μB/f.u.



## three
VASP calculation (PBE-GGA) on a relaxed NiPBr crystal.

a b c (Å): 4.340 4.340 4.340
angles (deg): 60.00 60.00 60.00
Sites, in units of the cell vectors:
1 Br 0.000 0.000 0.000
2 Ni 0.500 0.500 0.500
3 P 0.250 0.250 0.250

Calculated values
* M_tot: 0.00 μB/f.u.



Least stable of them? three.



## one
VASP calculation (PBE-GGA) on a relaxed NiP2PbBr crystal.

a b c (Å): 5.243 5.729 5.243
angles (deg): 90.00 90.00 90.00
Sites, in units of the cell vectors:
1 Ni 0.500 0.500 0.500
2 Br 0.000 0.500 0.000
3 P 0.000 0.000 0.500
4 P 0.500 0.000 0.000
5 Pb 0.000 0.000 0.000

Calculated values
* M_tot: 2.56 μB/f.u.



## two
VASP calculation (PBE-GGA) on a relaxed NiP2PbBr crystal.

a b c (Å): 5.121 4.350 5.121
angles (deg): 90.00 90.00 90.00
Sites, in units of the cell vectors:
1 P 0.000 0.000 0.500
2 Ni 0.000 0.500 0.000
3 Br 0.000 0.000 0.000
4 P 0.500 0.000 0.000
5 Pb 0.500 0.500 0.500

Calculated values
* M_tot: 0.00 μB/f.u.



Least stable of them? one.



## one
VASP calculation (PBE-GGA) on a relaxed NiPSe2Br crystal.

a b c (Å): 4.689 4.689 4.752
angles (deg): 90.00 90.00 90.00
Sites, in units of the cell vectors:
1 P 0.500 0.500 0.500
2 Se 0.500 0.000 0.000
3 Br 0.000 0.000 0.500
4 Ni 0.000 0.000 0.000
5 Se 0.000 0.500 0.000

Calculated values
* M_tot: 0.00 μB/f.u.



## two
VASP calculation (PBE-GGA) on a relaxed NiPSe2Br crystal.

a b c (Å): 4.881 4.881 4.923
angles (deg): 90.00 90.00 90.00
Sites, in units of the cell vectors:
1 Ni 0.500 0.500 0.500
2 Se 0.000 0.500 0.000
3 P 0.000 0.000 0.000
4 Se 0.500 0.000 0.000
5 Br 0.000 0.000 0.500

Calculated values
* M_tot: 1.58 μB/f.u.



Least stable of them? two.



## one
VASP calculation (PBE-GGA) on a relaxed NiPSeBr2 crystal.

a b c (Å): 5.009 5.009 4.998
angles (deg): 90.00 90.00 90.00
Sites, in units of the cell vectors:
1 Br 0.000 0.500 0.000
2 Ni 0.500 0.500 0.500
3 Br 0.500 0.000 0.000
4 P 0.000 0.000 0.000
5 Se 0.000 0.000 0.500

Calculated values
* M_tot: 1.40 μB/f.u.



## two
VASP calculation (PBE-GGA) on a relaxed NiPSeBr2 crystal.

a b c (Å): 4.734 4.734 4.857
angles (deg): 90.00 90.00 90.00
Sites, in units of the cell vectors:
1 Ni 0.000 0.000 0.000
2 P 0.500 0.500 0.500
3 Br 0.500 0.000 0.000
4 Se 0.000 0.000 0.500
5 Br 0.000 0.500 0.000

Calculated values
* M_tot: 0.00 μB/f.u.



Least stable of them? one.



## one
VASP calculation (PBE-GGA) on a relaxed Ni3PbBr crystal.

a b c (Å): 4.512 4.512 4.512
angles (deg): 90.00 90.00 90.00
Sites, in units of the cell vectors:
1 Ni 0.000 0.000 0.500
2 Pb 0.500 0.500 0.500
3 Ni 0.500 0.000 0.000
4 Br 0.000 0.000 0.000
5 Ni 0.000 0.500 0.000

Calculated values
* M_tot: 0.00 μB/f.u.



## two
VASP calculation (PBE-GGA) on a relaxed Ni3PbBr crystal.

a b c (Å): 4.872 4.872 4.872
angles (deg): 90.00 90.00 90.00
Sites, in units of the cell vectors:
1 Pb 0.000 0.000 0.000
2 Ni 0.500 0.000 0.000
3 Ni 0.000 0.000 0.500
4 Ni 0.000 0.500 0.000
5 Br 0.500 0.500 0.500

Calculated values
* M_tot: 0.00 μB/f.u.



Least stable of them? two.



## one
VASP calculation (PBE-GGA) on a relaxed NiPb3Br crystal.

a b c (Å): 5.679 5.679 5.679
angles (deg): 90.00 90.00 90.00
Sites, in units of the cell vectors:
1 Pb 0.000 0.500 0.000
2 Pb 0.500 0.000 0.000
3 Pb 0.000 0.000 0.500
4 Br 0.000 0.000 0.000
5 Ni 0.500 0.500 0.500

Calculated values
* M_tot: 0.90 μB/f.u.



## two
VASP calculation (PBE-GGA) on a relaxed NiPb3Br crystal.

a b c (Å): 5.241 5.241 5.241
angles (deg): 90.00 90.00 90.00
Sites, in units of the cell vectors:
1 Pb 0.500 0.000 0.000
2 Br 0.500 0.500 0.500
3 Pb 0.000 0.000 0.500
4 Pb 0.000 0.500 0.000
5 Ni 0.000 0.000 0.000

Calculated values
* M_tot: 0.00 μB/f.u.



Least stable of them? one.



## one
VASP calculation (PBE-GGA) on a relaxed Rb2NiPbBr6 crystal.

a b c (Å): 5.721 5.721 10.846
angles (deg): 90.00 90.00 90.00
Sites, in units of the cell vectors:
1 Br 0.500 0.500 0.277
2 Br 0.500 0.500 0.723
3 Br 0.000 0.500 0.500
4 Rb 0.000 0.000 0.286
5 Br 0.500 0.000 0.000
6 Pb 0.500 0.500 0.000
7 Br 0.000 0.500 0.000
8 Rb 0.000 0.000 0.714
9 Ni 0.500 0.500 0.500
10 Br 0.500 0.000 0.500

Calculated values
* M_tot: 1.52 μB/f.u.



## two
VASP calculation (PBE-GGA) on a relaxed Rb2NiPbBr6 crystal.

a b c (Å): 7.840 7.840 7.844
angles (deg): 60.02 60.02 90.00
Sites, in units of the cell vectors:
1 Pb 0.000 0.000 0.000
2 Br 0.731 0.731 0.000
3 Br 0.731 0.269 0.000
4 Br 0.269 0.269 0.000
5 Rb 0.750 0.250 0.500
6 Br 0.269 0.731 0.000
7 Br 0.731 0.731 0.537
8 Ni 0.500 0.500 0.000
9 Br 0.269 0.269 0.463
10 Rb 0.250 0.750 0.500

Calculated values
* M_tot: 2.00 μB/f.u.



Least stable of them? one.